Here is an optimized crystal structure of CsLiNi2F from Alexandria. Energies are from GGA+U.

a = 4.497 Å, b = 4.497 Å, c = 5.452 Å
α = 90.00°, β = 90.00°, γ = 90.00°
Element x y z (fractional)
Cs1 0.000 0.000 0.000
Li1 0.500 0.500 0.000
Ni1 0.000 0.500 0.500
Ni2 0.500 0.000 0.500
F1 0.000 0.000 0.500

Computed properties:
Space-group type ... No. 123
Volume ... 22.050 A^3/atom
N(E_F) ... 1.24 states/eV/cell
Theoretical density ... 4.2 Mg/m³
Energy ... -1.83 eV per atom